RhAuSeN2 | PBE-GGA | relaxed

Results
Space-group type: No. 123
Polymorph energy (0 for the lowest one) in eV/atom: 0.864

Cell lengths 3.755, 3.755, 7.705 Å; angles 90.00, 90.00, 90.00 degrees
Sites, in units of the cell vectors:
Rh (0.500, 0.500, 0.500)
Au (0.000, 0.000, 0.000)
Se (0.000, 0.000, 0.500)
N (0.000, 0.500, 0.000)
N (0.500, 0.000, 0.000)

***

Pr5TlIr2 | PBE-GGA | relaxed

Results
Space-group type: No. 140
Formation enthalpy at 0 K in eV per atom: -0.509

Cell lengths 8.068, 8.068, 9.143 Å; angles 116.18, 116.18, 90.00 degrees
Sites, in units of the cell vectors:
Pr (0.531, 0.706, 0.737)
Pr (0.794, 0.969, 0.263)
Pr (0.000, 0.000, 0.000)
Pr (0.500, 0.500, 0.000)
Pr (0.206, 0.031, 0.737)
Pr (0.706, 0.206, 0.737)
Pr (0.031, 0.531, 0.737)
Pr (0.294, 0.794, 0.263)
Pr (0.969, 0.469, 0.263)
Pr (0.469, 0.294, 0.263)
Tl (0.750, 0.750, 0.500)
Tl (0.250, 0.250, 0.500)
Ir (0.137, 0.363, 0.000)
Ir (0.637, 0.137, 0.000)
Ir (0.363, 0.863, 0.000)
Ir (0.863, 0.637, 0.000)

***

Mg7Rh3 | PBE-GGA | relaxed

Results
Space-group type: No. 186
Formation enthalpy at 0 K in eV per atom: -0.311
Polymorph energy (0 for the lowest one) in eV/atom: 0.044

Cell lengths 5.496, 8.804, 8.804 Å; angles 120.00, 90.00, 90.00 degrees
Sites, in units of the cell vectors:
Mg (0.078, 0.667, 0.333)
Mg (0.578, 0.333, 0.667)
Mg (0.907, 0.875, 0.750)
Mg (0.907, 0.875, 0.125)
Mg (0.907, 0.250, 0.125)
Mg (0.407, 0.125, 0.250)
Mg (0.407, 0.125, 0.875)
Mg (0.407, 0.750, 0.875)
Mg (0.167, 0.474, 0.947)
Mg (0.167, 0.474, 0.526)
Mg (0.167, 0.053, 0.526)
Mg (0.667, 0.526, 0.053)
Mg (0.667, 0.526, 0.474)
Mg (0.667, 0.947, 0.474)
Rh (0.870, 0.200, 0.401)
Rh (0.870, 0.200, 0.800)
Rh (0.870, 0.599, 0.800)
Rh (0.370, 0.800, 0.599)
Rh (0.370, 0.800, 0.200)
Rh (0.370, 0.401, 0.200)

***

La2CoCu | PBE-GGA | relaxed

Results
Space-group type: No. 123
Formation enthalpy at 0 K in eV per atom: -0.047

Cell lengths 5.031, 5.033, 3.592 Å; angles 90.00, 90.00, 90.00 degrees
Sites, in units of the cell vectors:
Co (0.500, 0.000, 0.500)
Cu (0.000, 0.500, 0.500)
La (0.000, 0.000, 0.000)
La (0.500, 0.500, 0.000)

***

HfNb2Os | PBE-GGA | relaxed

Results
Space-group type: No. 122
Formation enthalpy at 0 K in eV per atom: 0.300
Polymorph energy (0 for the lowest one) in eV/atom: 0.548

Cell lengths 7.600, 7.600, 6.030 Å; angles 50.94, 50.94, 90.00 degrees
Sites, in units of the cell vectors:
Hf (0.500, 0.500, 0.000)
Hf (0.250, 0.750, 0.500)
Nb (0.666, 0.125, 0.250)
Nb (0.084, 0.625, 0.250)
Nb (0.375, 0.334, 0.750)
Nb (0.875, 0.916, 0.750)
Os (0.000, 0.000, 0.000)
Os (0.750, 0.250, 0.500)

***

KRu2Rh | PBE-GGA | relaxed

Results
Space-group type: No. 123
Formation enthalpy at 0 K in eV per atom: 1.410
Polymorph energy (0 for the lowest one) in eV/atom: 0.817

Cell lengths 4.720, 3.808, 3.808 Å; angles 90.00, 90.00, 90.00 degrees
Sites, in units of the cell vectors:
K (0.500, 0.500, 0.000)
Rh (0.500, 0.000, 0.500)
Ru (0.000, 0.000, 0.000)
Ru (0.000, 0.500, 0.500)

***

Si2GeNO | PBE-GGA | relaxed

Results
Space-group type: No. 123
Raw total energy in eV/cell: -24.74

Cell lengths 3.775, 5.265, 3.775 Å; angles 90.00, 90.00, 90.00 degrees
Sites, in units of the cell vectors:
Ge (0.000, 0.500, 0.000)
Si (0.000, 0.000, 0.500)
Si (0.500, 0.000, 0.000)
O (0.500, 0.500, 0.500)
N (0.000, 0.000, 0.000)

***

K3AgP2O8 | PBE-GGA | relaxed

Results
Space-group type: No. 164
Raw total energy in eV/cell: -81.76

Cell lengths 5.727, 5.727, 7.651 Å; angles 90.00, 90.00, 120.00 degrees
Sites, in units of the cell vectors:
K (0.333, 0.667, 0.696)
K (0.667, 0.333, 0.304)
K (0.000, 0.000, 0.000)
Ag (0.000, 0.000, 0.500)
P (0.333, 0.667, 0.246)
P (0.667, 0.333, 0.754)
O (0.333, 0.667, 0.044)
O (0.667, 0.333, 0.956)
O (0.183, 0.817, 0.305)
O (0.817, 0.183, 0.695)
O (0.183, 0.366, 0.305)
O (0.817, 0.634, 0.695)
O (0.634, 0.817, 0.305)
O (0.366, 0.183, 0.695)

***

MgNpZn17 | PBE-GGA | relaxed

Results
Space-group type: No. 160
Formation enthalpy at 0 K in eV per atom: -0.034

Cell lengths 6.799, 6.799, 6.799 Å; angles 82.51, 82.51, 82.51 degrees
Sites, in units of the cell vectors:
Mg (0.365, 0.365, 0.365)
Np (0.660, 0.660, 0.660)
Zn (0.297, 0.003, 0.693)
Zn (0.693, 0.297, 0.003)
Zn (0.003, 0.693, 0.297)
Zn (0.297, 0.693, 0.003)
Zn (0.003, 0.297, 0.693)
Zn (0.693, 0.003, 0.297)
Zn (0.351, 0.845, 0.351)
Zn (0.351, 0.351, 0.845)
Zn (0.845, 0.351, 0.351)
Zn (0.647, 0.163, 0.647)
Zn (0.647, 0.647, 0.163)
Zn (0.163, 0.647, 0.647)
Zn (0.988, 0.504, 0.988)
Zn (0.988, 0.988, 0.504)
Zn (0.504, 0.988, 0.988)
Zn (0.900, 0.900, 0.900)
Zn (0.105, 0.105, 0.105)

***

Ba3In3Hg | PBE-GGA | relaxed

Results
Space-group type: No. 12
Formation enthalpy at 0 K in eV per atom: -0.417

Cell lengths 5.250, 6.762, 16.501 Å; angles 86.94, 80.85, 67.16 degrees
Sites, in units of the cell vectors:
Ba (0.548, 0.291, 0.614)
Ba (0.452, 0.709, 0.386)
Ba (0.248, 0.269, 0.235)
Ba (0.752, 0.731, 0.765)
Ba (0.392, 0.292, 0.924)
Ba (0.608, 0.708, 0.076)
In (0.869, 0.723, 0.538)
In (0.131, 0.277, 0.462)
In (0.101, 0.877, 0.920)
In (0.899, 0.123, 0.080)
In (0.958, 0.853, 0.230)
In (0.042, 0.147, 0.770)
Hg (0.750, 0.106, 0.394)
Hg (0.250, 0.894, 0.606)

***

CaNdPtRh | PBE-GGA | relaxed

Results
Space-group type: No. 216
Formation enthalpy at 0 K in eV per atom: -0.745
Polymorph energy (0 for the lowest one) in eV/atom: 0.036

Cell lengths 4.976, 4.976, 4.976 Å; angles 60.00, 60.00, 60.00 degrees
Sites, in units of the cell vectors:
Rh (0.250, 0.250, 0.250)
Ca (0.500, 0.500, 0.500)
Nd (0.000, 0.000, 0.000)
Pt (0.750, 0.750, 0.750)

***

Tb7SmHo5 | PBE-GGA | relaxed

Results
Space-group type: No. 44
Formation enthalpy at 0 K in eV per atom: 0.248
Polymorph energy (0 for the lowest one) in eV/atom: 0.000

Cell lengths 6.676, 8.685, 8.685 Å; angles 79.55, 67.37, 67.37 degrees
Sites, in units of the cell vectors:
Tb (0.730, 0.270, 0.270)
Tb (0.424, 0.576, 0.576)
Tb (0.980, 0.348, 0.691)
Tb (0.980, 0.691, 0.348)
Tb (0.230, 0.270, 0.270)
Tb (0.481, 0.847, 0.190)
Tb (0.481, 0.190, 0.847)
Sm (0.035, 0.965, 0.965)
Ho (0.465, 0.998, 0.539)
Ho (0.998, 0.998, 0.539)
Ho (0.465, 0.539, 0.998)
Ho (0.998, 0.539, 0.998)
Ho (0.732, 0.768, 0.768)

***

SrTiPd3 | PBE-GGA | relaxed

Results
Space-group type: No. 221
Formation enthalpy at 0 K in eV per atom: -0.174

Cell lengths 4.829, 4.829, 4.829 Å; angles 90.00, 90.00, 90.00 degrees
Sites, in units of the cell vectors:
Sr (0.500, 0.500, 0.500)
Pd (0.000, 0.500, 0.000)
Pd (0.000, 0.000, 0.500)
Pd (0.500, 0.000, 0.000)
Ti (0.000, 0.000, 0.000)

***

Cr2FeTe | PBE-GGA | relaxed

Results
Space-group type: No. 166
Polymorph energy (0 for the lowest one) in eV/atom: 0.201

Cell lengths 5.838, 5.838, 5.838 Å; angles 37.89, 37.89, 37.89 degrees
Sites, in units of the cell vectors:
Cr (0.974, 0.974, 0.974)
Cr (0.526, 0.526, 0.526)
Fe (0.250, 0.250, 0.250)
Te (0.750, 0.750, 0.750)

***

ErSiPd | PBE-GGA | relaxed

Results
Space-group type: No. 187
Raw total energy in eV/cell: -18.05

Cell lengths 3.469, 4.337, 4.337 Å; angles 120.00, 90.00, 90.00 degrees
Sites, in units of the cell vectors:
Si (0.167, 0.333, 0.667)
Pd (0.167, 0.000, 0.000)
Er (0.667, 0.667, 0.333)

***

Ca2Zn5Ag | PBE-GGA | relaxed

Results
Space-group type: No. 63
Formation enthalpy at 0 K in eV per atom: -0.248

Cell lengths 4.384, 8.459, 9.207 Å; angles 90.00, 90.00, 105.02 degrees
Sites, in units of the cell vectors:
Ca (0.801, 0.602, 0.750)
Ca (0.199, 0.398, 0.250)
Ca (0.000, 0.000, 0.000)
Ca (0.000, 0.000, 0.500)
Zn (0.186, 0.371, 0.888)
Zn (0.814, 0.629, 0.112)
Zn (0.186, 0.371, 0.612)
Zn (0.814, 0.629, 0.388)
Zn (0.344, 0.688, 0.980)
Zn (0.656, 0.312, 0.020)
Zn (0.344, 0.688, 0.520)
Zn (0.656, 0.312, 0.480)
Zn (0.605, 0.210, 0.750)
Zn (0.395, 0.790, 0.250)
Ag (0.444, 0.888, 0.750)
Ag (0.556, 0.112, 0.250)

***

LiAc2LaTe4 | PBE-GGA | relaxed

Results
Space-group type: No. 10
Raw total energy in eV/cell: -39.18

Cell lengths 4.631, 8.049, 7.956 Å; angles 109.64, 90.00, 90.00 degrees
Sites, in units of the cell vectors:
Li (0.000, 0.000, 0.000)
Ac (0.500, 0.000, 0.500)
Ac (0.000, 0.500, 0.500)
La (0.500, 0.500, 0.000)
Te (0.500, 0.236, 0.230)
Te (0.500, 0.764, 0.770)
Te (0.000, 0.247, 0.766)
Te (0.000, 0.753, 0.234)

***

SrTa3Ir | PBE-GGA | relaxed

Results
Space-group type: No. 221
Formation enthalpy at 0 K in eV per atom: 0.873
Polymorph energy (0 for the lowest one) in eV/atom: 0.000

Cell lengths 4.993, 4.993, 4.993 Å; angles 90.00, 90.00, 90.00 degrees
Sites, in units of the cell vectors:
Sr (0.500, 0.500, 0.500)
Ir (0.000, 0.000, 0.000)
Ta (0.000, 0.500, 0.000)
Ta (0.000, 0.000, 0.500)
Ta (0.500, 0.000, 0.000)

***

TbNd2Sc | PBE-GGA | relaxed

Results
Space-group type: No. 123
Formation enthalpy at 0 K in eV per atom: 0.040
Polymorph energy (0 for the lowest one) in eV/atom: 0.001

Cell lengths 3.608, 3.608, 9.687 Å; angles 90.00, 90.00, 90.00 degrees
Sites, in units of the cell vectors:
Sc (0.500, 0.500, 0.000)
Nd (0.000, 0.000, 0.762)
Nd (0.000, 0.000, 0.238)
Tb (0.500, 0.500, 0.500)

***

Ho5Er2Tm5 | PBE-GGA | relaxed

Results
Space-group type: No. 12
Formation enthalpy at 0 K in eV per atom: 0.024

Cell lengths 4.943, 7.820, 10.499 Å; angles 72.69, 76.38, 71.57 degrees
Sites, in units of the cell vectors:
Ho (0.500, 0.500, 0.500)
Ho (0.334, 0.333, 0.000)
Ho (0.416, 0.917, 0.250)
Ho (0.584, 0.083, 0.750)
Ho (0.666, 0.667, 0.000)
Er (0.917, 0.417, 0.750)
Er (0.083, 0.583, 0.250)
Tm (0.833, 0.834, 0.500)
Tm (0.250, 0.750, 0.750)
Tm (0.750, 0.250, 0.250)
Tm (0.167, 0.166, 0.500)
Tm (0.000, 0.000, 0.000)

***

Number 1: magnetization 0.27 μB per cell. Number 2: magnetization 0.00 μB per cell. Number 3: magnetization 0.00 μB per cell. Number 4: magnetization 0.00 μB per cell. Number 5: magnetization 0.00 μB per cell. Number 6: magnetization 0.00 μB per cell. Number 7: magnetization 0.00 μB per cell. Number 8: magnetization 2.07 μB per cell. Number 9: magnetization 4.27 μB per cell. Number 10: magnetization 0.00 μB per cell. Number 11: magnetization 0.00 μB per cell. Number 12: magnetization 0.00 μB per cell. Number 13: magnetization 0.00 μB per cell. Number 14: magnetization 2.71 μB per cell. Number 15: magnetization 0.00 μB per cell. Number 16: magnetization 0.00 μB per cell. Number 17: magnetization 0.00 μB per cell. Number 18: magnetization 0.00 μB per cell. Number 19: magnetization 0.00 μB per cell. Number 20: magnetization 0.00 μB per cell.